The following is a DFT calculation (PBE) of Rb3UAg2Te6 after structural relaxation.

Crystal system: trigonal
VASP energy (eV per atom): -3.74
Magnetization (μB/f.u.): 0.066
Formation energy from raw total energies (eV/atom): -0.5150

Lattice parameters (Å, degrees): 8.592 8.592 9.527 90.00 90.00 120.00
Sites, in units of the cell vectors:
Te  0.153  0.306  0.307
Te  0.847  0.694  0.693
Te  0.153  0.847  0.307
Te  0.306  0.153  0.693
Te  0.847  0.153  0.693
Te  0.694  0.847  0.307
Rb  0.667  0.333  0.342
Rb  0.333  0.667  0.658
Rb  0.000  0.000  0.000
U  0.000  0.000  0.500
Ag  0.333  0.667  0.297
Ag  0.667  0.333  0.703

The following is a DFT calculation (PBE) of RbU2Ag2Te6 after structural relaxation.

Crystal system: triclinic
VASP energy (eV per atom): -4.85
Magnetization (μB/f.u.): 3.000
Formation energy from raw total energies (eV/atom): -0.4795

Lattice parameters (Å, degrees): 8.062 8.851 8.928 124.89 92.72 58.18
Sites, in units of the cell vectors:
U  0.160  0.672  0.162
U  0.840  0.328  0.838
Te  0.006  0.429  0.171
Te  0.219  0.813  0.551
Te  0.399  0.796  0.061
Te  0.601  0.204  0.939
Te  0.994  0.571  0.829
Te  0.781  0.187  0.449
Ag  0.183  0.747  0.809
Ag  0.817  0.253  0.191
Rb  0.500  0.000  0.500

Q: Which of these has the highest formation energy from raw total energies?
A: RbU2Ag2Te6

Repeat the second record exactly.
The following is a DFT calculation (PBE) of RbU2Ag2Te6 after structural relaxation.

Crystal system: triclinic
VASP energy (eV per atom): -4.85
Magnetization (μB/f.u.): 3.000
Formation energy from raw total energies (eV/atom): -0.4795

Lattice parameters (Å, degrees): 8.062 8.851 8.928 124.89 92.72 58.18
Sites, in units of the cell vectors:
U  0.160  0.672  0.162
U  0.840  0.328  0.838
Te  0.006  0.429  0.171
Te  0.219  0.813  0.551
Te  0.399  0.796  0.061
Te  0.601  0.204  0.939
Te  0.994  0.571  0.829
Te  0.781  0.187  0.449
Ag  0.183  0.747  0.809
Ag  0.817  0.253  0.191
Rb  0.500  0.000  0.500